## Na3LiBi (PBE-GGA)

Data for a relaxed Na3LiBi crystal.

Properties
The space group is Pm-3m. The value obtained for the theoretical density is 3.04 g/cm³. The value obtained for the energy relative to the lowest polymorph listed for this composition is 438 meV per atom. As for the energy of formation from the pure elements: 0.19 eV per atom.

Lattice parameters (Å, degrees): 5.3759 5.3759 5.3759 90.00 90.00 90.00
Sites, in units of the cell vectors:
Na1 0.0000 0.0000 0.5000
Na2 0.0000 0.5000 0.0000
Na3 0.5000 0.0000 0.0000
Li1 0.0000 0.0000 0.0000
Bi1 0.5000 0.5000 0.5000